#a
The following is a GGA-PBE calculation of crystalline BeInCl3 at its relaxed geometry, from Alexandria via LeMat-Bulk.

Cell: 4.6815 4.6815 4.6815 Å, 90.00 90.00 90.00°
Atoms (fractional coordinates):
Cl1 0.5000 0.0000 0.0000
Cl2 0.0000 0.5000 0.0000
Cl3 0.0000 0.0000 0.5000
In1 0.5000 0.5000 0.5000
Be1 0.0000 0.0000 0.0000

=====

#b
The following is a GGA-PBE calculation of crystalline BeInCl3 at its relaxed geometry, from Alexandria via LeMat-Bulk.

Cell: 7.6280 8.2251 10.3001 Å, 94.14 90.00 90.00°
Atoms (fractional coordinates):
In1 0.9250 0.0291 0.7629
In2 0.0750 0.9709 0.2371
In3 0.5750 0.5291 0.2629
In4 0.4250 0.4709 0.7371
Cl1 0.5924 0.8528 0.9225
Cl2 0.9076 0.3528 0.4225
Cl3 0.8237 0.4074 0.7442
Cl4 0.3237 0.0926 0.7558
Cl5 0.1569 0.8342 0.9548
Cl6 0.0924 0.6472 0.5775
Cl7 0.6763 0.9074 0.2442
Cl8 0.4076 0.1472 0.0775
Cl9 0.6569 0.6658 0.5452
Cl10 0.3431 0.3342 0.4548
Cl11 0.8431 0.1658 0.0452
Cl12 0.1763 0.5926 0.2558
Be1 0.6438 0.0187 0.0814
Be2 0.3562 0.9813 0.9186
Be3 0.1438 0.4813 0.4186
Be4 0.8562 0.5187 0.5814

=====

The relative energies come out as #a 31.6; #b 0.0, with values in kJ/mol of atoms.

=====

#a
The following is a GGA-PBE calculation of crystalline BeInPCl2 at its relaxed geometry, from Alexandria via LeMat-Bulk.

Cell: 4.3032 4.3032 5.2748 Å, 90.00 90.00 90.00°
Atoms (fractional coordinates):
Cl1 0.5000 0.0000 0.0000
Cl2 0.0000 0.5000 0.0000
Be1 0.0000 0.0000 0.0000
P1 0.0000 0.0000 0.5000
In1 0.5000 0.5000 0.5000

=====

#b
The following is a GGA-PBE calculation of crystalline BeInPCl2 at its relaxed geometry, from Alexandria via LeMat-Bulk.

Cell: 5.0566 5.0566 5.6590 Å, 90.00 90.00 90.00°
Last column: magnetic moment on the atom in μB.
Atoms (fractional coordinates):
Be1 0.5000 0.5000 0.5000  -0.04
Cl1 0.5000 0.0000 0.0000  0.01
Cl2 0.0000 0.5000 0.0000  0.01
In1 0.0000 0.0000 0.0000  0.00
P1 0.0000 0.0000 0.5000  0.27

=====

The relative energies come out as #a 0.0; #b 73.7, with values in kJ/mol of atoms.

=====

#a
The following is a GGA-PBE calculation of crystalline BeInS2Cl at its relaxed geometry, from Alexandria via LeMat-Bulk.

Cell: 5.1674 5.1674 4.8695 Å, 90.00 90.00 90.00°
Atoms (fractional coordinates):
Cl1 0.0000 0.0000 0.5000
In1 0.0000 0.0000 0.0000
S1 0.0000 0.5000 0.0000
S2 0.5000 0.0000 0.0000
Be1 0.5000 0.5000 0.5000

=====

#b
The following is a GGA-PBE calculation of crystalline BeInS2Cl at its relaxed geometry, from Alexandria via LeMat-Bulk.

Cell: 4.5718 4.5718 4.3562 Å, 90.00 90.00 90.00°
Atoms (fractional coordinates):
In1 0.5000 0.5000 0.5000
S1 0.0000 0.5000 0.0000
S2 0.5000 0.0000 0.0000
Cl1 0.0000 0.0000 0.5000
Be1 0.0000 0.0000 0.0000

=====

The relative energies come out as #a 72.3; #b 0.0, with values in kJ/mol of atoms.

=====

#a
The following is a GGA-PBE calculation of crystalline BeInSCl2 at its relaxed geometry, from Alexandria via LeMat-Bulk.

Cell: 4.2746 4.2746 5.1384 Å, 90.00 90.00 90.00°
Atoms (fractional coordinates):
Cl1 0.5000 0.0000 0.0000
Cl2 0.0000 0.5000 0.0000
In1 0.5000 0.5000 0.5000
S1 0.0000 0.0000 0.5000
Be1 0.0000 0.0000 0.0000

=====

#b
The following is a GGA-PBE calculation of crystalline BeInSCl2 at its relaxed geometry, from Alexandria via LeMat-Bulk.

Cell: 5.0702 5.0702 5.3747 Å, 90.00 90.00 90.00°
Last column: magnetic moment on the atom in μB.
Atoms (fractional coordinates):
Cl1 0.0000 0.5000 0.0000  0.01
Cl2 0.5000 0.0000 0.0000  0.01
Be1 0.5000 0.5000 0.5000  0.19
S1 0.0000 0.0000 0.5000  0.06
In1 0.0000 0.0000 0.0000  0.01

=====

The relative energies come out as #a 0.0; #b 74.2, with values in kJ/mol of atoms.

=====

#a
The following is a GGA-PBE calculation of crystalline TiBeInCl2 at its relaxed geometry, from Alexandria via LeMat-Bulk.

Cell: 4.3346 5.5473 4.3346 Å, 90.00 90.00 90.00°
Atoms (fractional coordinates):
Ti1 0.0000 0.5000 0.0000
Cl1 0.0000 0.0000 0.5000
Cl2 0.5000 0.0000 0.0000
Be1 0.0000 0.0000 0.0000
In1 0.5000 0.5000 0.5000

=====

#b
The following is a GGA-PBE calculation of crystalline TiBeInCl2 at its relaxed geometry, from Alexandria via LeMat-Bulk.

Cell: 4.6318 6.1021 4.6318 Å, 90.00 90.00 90.00°
Last column: magnetic moment on the atom in μB.
Atoms (fractional coordinates):
Cl1 0.0000 0.0000 0.5000  0.00
Cl2 0.5000 0.0000 0.0000  -0.03
Ti1 0.0000 0.0000 0.0000  0.92
Be1 0.5000 0.5000 0.5000  0.00
In1 0.0000 0.5000 0.0000  0.04

=====

The relative energies come out as #a 15.9; #b 0.0, with values in kJ/mol of atoms.

=====

#a
The following is a GGA-PBE calculation of crystalline BeIr2Cl at its relaxed geometry, from Alexandria via LeMat-Bulk.

Cell: 5.6081 5.6081 5.6081 Å, 151.30 137.44 52.14°
Atoms (fractional coordinates):
Cl1 0.2500 0.7500 0.5000
Be1 0.7500 0.2500 0.5000
Ir1 0.5525 0.5525 0.0000
Ir2 0.9475 0.9475 0.0000

=====

#b
The following is a GGA-PBE calculation of crystalline BeIr2Cl at its relaxed geometry, from Alexandria via LeMat-Bulk.

Cell: 4.2222 4.2222 4.2222 Å, 120.05 120.05 89.91°
Atoms (fractional coordinates):
Ir1 0.0000 0.0000 0.0000
Ir2 0.5000 0.5000 0.0000
Cl1 0.7500 0.2500 0.5000
Be1 0.2500 0.7500 0.5000

=====

The relative energies come out as #a 0.0; #b 44.8, with values in kJ/mol of atoms.

=====

#a
The following is a GGA-PBE calculation of crystalline BeIr2Cl at its relaxed geometry, from Alexandria via LeMat-Bulk.

Cell: 8.1176 8.1176 8.1176 Å, 19.97 19.97 19.97°
Atoms (fractional coordinates):
Cl1 0.7500 0.7500 0.7500
Be1 0.2500 0.2500 0.2500
Ir1 0.5086 0.5086 0.5086
Ir2 0.9914 0.9914 0.9914

=====

#b
The following is a GGA-PBE calculation of crystalline BeIr2Cl at its relaxed geometry, from Alexandria via LeMat-Bulk.

Cell: 2.8322 2.8322 7.0104 Å, 90.00 90.00 90.00°
Atoms (fractional coordinates):
Ir1 0.0000 0.0000 0.4374
Ir2 0.0000 0.0000 0.0626
Be1 0.5000 0.5000 0.2500
Cl1 0.5000 0.5000 0.7500

=====

The relative energies come out as #a 3.9; #b 0.0, with values in kJ/mol of atoms.

=====

#a
The following is a GGA-PBE calculation of crystalline BeIr2Cl at its relaxed geometry, from Alexandria via LeMat-Bulk.

Cell: 2.8188 2.8188 8.2138 Å, 90.00 90.00 121.08°
Atoms (fractional coordinates):
Cl1 0.5000 0.5000 0.7500
Ir1 0.0000 0.0000 0.4699
Ir2 0.0000 0.0000 0.0301
Be1 0.5000 0.5000 0.2500

=====

#b
The following is a GGA-PBE calculation of crystalline BeIr2Cl at its relaxed geometry, from Alexandria via LeMat-Bulk.

Cell: 3.4941 2.7387 7.7868 Å, 79.77 90.00 90.00°
Atoms (fractional coordinates):
Cl1 0.5000 0.8945 0.8390
Be1 0.0000 0.6301 0.3621
Ir1 0.0000 0.7892 0.0475
Ir2 0.5000 0.1862 0.2514

=====

The relative energies come out as #a 19.2; #b 0.0, with values in kJ/mol of atoms.